No. 1
A relaxed structure of NaRh, computed with PBE.

Cell and atoms, written as POSCAR:
```
NaRh
1.0
5.592 0.000 0.000
0.000 5.592 0.000
0.000 0.000 5.563
Rh Na
4 4
Direct
0.346 0.654 0.500
0.154 0.154 0.000
0.654 0.346 0.500
0.846 0.846 0.000
0.679 0.321 0.000
0.179 0.179 0.500
0.821 0.821 0.500
0.321 0.679 0.000
```

**Space-group type**: No. 136
**Total moment**: 0.5624 μB/atom
**ΔE_f**: 1.913 eV/f.u.
**Calculated total energy**: -3.38 eV/atom
**Volume**: 21.744 A^3/atom

No. 2
A relaxed structure of NaRh, computed with PBE.

Cell and atoms, written as POSCAR:
```
NaRh
1.0
-1.282 -0.866 7.674
4.895 -6.108 0.129
5.973 4.819 1.541
Na Rh
6 6
Direct
0.750 0.500 0.000
0.250 0.500 0.000
0.500 0.000 0.250
0.000 0.750 0.500
0.000 0.250 0.500
0.500 0.000 0.750
0.500 0.250 0.000
0.500 0.750 0.000
0.250 0.000 0.500
0.000 0.500 0.250
0.750 0.000 0.500
0.000 0.500 0.750
```

**Space-group type**: No. 223
**Total moment**: 0.5864 μB/atom
**ΔE_f**: 3.629 eV/f.u.
**Calculated total energy**: -2.52 eV/atom
**Volume**: 39.975 A^3/atom

No. 3
A relaxed structure of NaRh, computed with PBE.

Cell and atoms, written as POSCAR:
```
NaRh
1.0
5.438 0.000 0.000
0.000 5.438 0.000
0.000 0.000 5.438
Na Rh
4 4
Direct
0.500 0.000 0.500
0.000 0.500 0.500
0.000 0.000 0.000
0.500 0.500 0.000
0.500 0.000 0.000
0.000 0.500 0.000
0.500 0.500 0.500
0.000 0.000 0.500
```

**Space-group type**: No. 225
**Total moment**: 0.3595 μB/atom
**ΔE_f**: 2.366 eV/f.u.
**Calculated total energy**: -3.15 eV/atom
**Volume**: 20.098 A^3/atom

No. 4
A relaxed structure of NaRh, computed with PBE.

Cell and atoms, written as POSCAR:
```
NaRh
1.0
9.850 0.000 0.000
0.000 9.850 0.000
0.000 0.000 4.207
Rh Na
8 8
Direct
0.707 0.707 0.500
0.293 0.707 0.500
0.793 0.207 0.000
0.207 0.207 0.000
0.707 0.293 0.500
0.207 0.793 0.000
0.793 0.793 0.000
0.293 0.293 0.500
0.000 0.285 0.500
0.215 0.500 0.000
0.285 0.000 0.500
0.715 0.000 0.500
0.500 0.785 0.000
0.785 0.500 0.000
0.000 0.715 0.500
0.500 0.215 0.000
```

**Space-group type**: No. 139
**Total moment**: 0.3127 μB/atom
**ΔE_f**: 1.212 eV/f.u.
**Calculated total energy**: -3.73 eV/atom
**Volume**: 25.510 A^3/atom

No. 5
A relaxed structure of NaRh, computed with PBE.

Cell and atoms, written as POSCAR:
```
NaRh
1.0
-3.588 -1.127 3.287
5.517 0.620 6.234
-1.035 4.627 0.456
Rh Na
6 6
Direct
0.000 0.333 0.503
0.000 0.833 0.003
0.000 0.167 0.003
0.000 0.500 0.003
0.000 0.667 0.503
0.000 0.000 0.503
0.500 0.167 0.664
0.500 0.500 0.664
0.500 0.000 0.164
0.500 0.833 0.664
0.500 0.667 0.164
0.500 0.333 0.164
```

**Space-group type**: No. 38
**Total moment**: 0.0001 μB/atom
**ΔE_f**: 0.556 eV/f.u.
**Calculated total energy**: -4.06 eV/atom
**Volume**: 16.549 A^3/atom

No. 6
A relaxed structure of NaRh, computed with PBE.

Cell and atoms, written as POSCAR:
```
NaRh
1.0
8.741 0.000 0.000
0.000 8.741 0.000
0.000 0.000 8.741
Na Rh
8 8
Direct
0.795 0.205 0.795
0.295 0.705 0.295
0.295 0.295 0.705
0.705 0.705 0.705
0.705 0.295 0.295
0.205 0.795 0.795
0.795 0.795 0.205
0.205 0.205 0.205
0.396 0.396 0.396
0.604 0.396 0.604
0.604 0.604 0.396
0.896 0.104 0.104
0.396 0.604 0.604
0.896 0.896 0.896
0.104 0.104 0.896
0.104 0.896 0.104
```

**Space-group type**: No. 217
**Total moment**: 0.7132 μB/atom
**ΔE_f**: 2.052 eV/f.u.
**Calculated total energy**: -3.31 eV/atom
**Volume**: 41.740 A^3/atom

No. 7
A relaxed structure of NaRh, computed with PBE.

Cell and atoms, written as POSCAR:
```
NaRh
1.0
-5.661 2.229 -0.935
-1.852 -5.530 -1.970
-1.553 -1.530 5.756
Na Rh
4 4
Direct
0.750 0.750 0.250
0.750 0.250 0.750
0.250 0.750 0.750
0.250 0.250 0.250
0.000 0.500 0.500
0.500 0.500 0.000
0.000 0.000 0.000
0.500 0.000 0.500
```

**Space-group type**: No. 216
**Total moment**: 0.4154 μB/atom
**ΔE_f**: 3.572 eV/f.u.
**Calculated total energy**: -2.55 eV/atom
**Volume**: 29.154 A^3/atom

No. 8
A relaxed structure of NaRuRh3, computed with PBE.

Cell and atoms, written as POSCAR:
```
NaRuRh3
1.0
4.722 0.000 0.000
0.000 4.722 0.000
0.000 0.000 4.722
Rh Ru Na
3 1 1
Direct
0.000 0.000 0.500
0.500 0.000 0.000
0.000 0.500 0.000
0.000 0.000 0.000
0.500 0.500 0.500
```

**ΔE to the lowest computed polymorph**: 0 meV per atom
**Space-group type**: No. 221
**Total moment**: 0.0000 μB/atom
**ΔE_f**: 5.012 eV/f.u.
**Calculated total energy**: -5.53 eV/atom
**Volume**: 21.057 A^3/atom